(1)
The following is a DFT calculation (GGA-PBE) of an optimized crystal structure of K3InMo.

Unit cell a=6.6714 b=6.6714 c=6.6714 alpha=90.00 beta=90.00 gamma=90.00
Last column: nearest neighbours and their distance in Å.
Fractional positions:
1 Mo 0.5000 0.5000 0.5000  12 K 4.72
2 K 0.5000 0.0000 0.0000  2 In 3.34
3 In 0.0000 0.0000 0.0000  6 K 3.34
4 K 0.0000 0.5000 0.0000  2 In 3.34
5 K 0.0000 0.0000 0.5000  2 In 3.34

Values from the calculation:
Calculated formation energy (eV per formula unit): 6.0
Energy relative to the lowest polymorph listed for this composition (eV/atom): 0.000
Size of the total moment (μB per formula unit): 5.31
SG: No. 221

(2)
The following is a DFT calculation (GGA-PBE) of an optimized crystal structure of Pb2SeBr2.

Unit cell a=8.2402 b=8.2402 c=4.5950 alpha=90.00 beta=90.00 gamma=90.00
Last column: nearest neighbours and their distance in Å.
Fractional positions:
1 Pb 0.6838 0.1838 0.0000  2 Se 3.01, 2 Br 3.02
2 Br 0.6475 0.8525 0.5000  2 Pb 3.02
3 Br 0.3525 0.1475 0.5000  2 Pb 3.02
4 Se 0.0000 0.0000 0.0000  4 Pb 3.01
5 Br 0.1475 0.6475 0.5000  2 Pb 3.02
6 Br 0.8525 0.3525 0.5000  2 Pb 3.02
7 Pb 0.8162 0.6838 0.0000  2 Se 3.01, 2 Br 3.02
8 Se 0.5000 0.5000 0.0000  4 Pb 3.01
9 Pb 0.1838 0.3162 0.0000  2 Se 3.01, 2 Br 3.02
10 Pb 0.3162 0.8162 0.0000  2 Se 3.01, 2 Br 3.02

Values from the calculation:
Energy relative to the lowest polymorph listed for this composition (eV/atom): 0.207
Uncorrected formation energy (eV/atom): -0.558
Size of the total moment (μB per formula unit): 0.00
SG: No. 127

(3)
The following is a DFT calculation (GGA-PBE) of an optimized crystal structure of CePmGaSb.

Unit cell a=5.3338 b=5.3338 c=5.3338 alpha=60.00 beta=60.00 gamma=60.00
Last column: nearest neighbours and their distance in Å.
Fractional positions:
1 Sb 0.7500 0.7500 0.7500  4 Ce 3.27, 4 Pm 3.27
2 Pm 0.0000 0.0000 0.0000  4 Ga 3.27, 4 Sb 3.27
3 Ga 0.2500 0.2500 0.2500  4 Ce 3.27, 4 Pm 3.27
4 Ce 0.5000 0.5000 0.5000  4 Sb 3.27, 4 Ga 3.27

Values from the calculation:
Uncorrected formation energy (eV/atom): -0.600
Size of the total moment (μB per formula unit): 1.69
SG: No. 216

Number 1: final energy -2.1695 eV/atom, Fermi-level density of states 4.604 states/eV/f.u.. Number 2: final energy -3.4074 eV/atom, Fermi-level density of states 0.717 states/eV/f.u.. Number 3: final energy -5.0584 eV/atom, Fermi-level density of states 8.530 states/eV/f.u..